Record 1
# PmEuZnCu (PBE, relaxed)
# Total magnetization (μB per formula unit): 7.2
# E_form (kcal/mol of atoms): -4.1
# Electronic total energy (eV per atom): -5.278
data_PmEuZnCu
_space_group_name_H-M_alt 'F -4 3 m'
_space_group_IT_number 216
_space_group_name_Hall 'F -4 2 3'
_cell_length_a 7.302
_cell_length_b 7.302
_cell_length_c 7.302
_cell_angle_alpha 90.00
_cell_angle_beta 90.00
_cell_angle_gamma 90.00
loop_
_atom_site_label
_atom_site_type_symbol
_atom_site_fract_x
_atom_site_fract_y
_atom_site_fract_z
Pm1 Pm 0.000 0.000 0.000
Eu1 Eu 0.000 0.000 0.500
Zn1 Zn 0.250 0.250 0.750
Cu1 Cu 0.250 0.250 0.250

***

Record 2
# Ba3NpSi2N6 (PBE, relaxed)
# Total magnetization (μB per formula unit): 1.8
# Electronic total energy (eV per atom): -7.519
# Uncorrected formation energy (eV/f.u.): -10.721
data_Ba3NpSi2N6
_space_group_name_H-M_alt 'P -3 m 1'
_space_group_IT_number 164
_space_group_name_Hall '-P 3 2"'
_cell_length_a 5.9758
_cell_length_b 5.9758
_cell_length_c 7.2509
_cell_angle_alpha 90.00
_cell_angle_beta 90.00
_cell_angle_gamma 120.00
loop_
_atom_site_label
_atom_site_type_symbol
_atom_site_fract_x
_atom_site_fract_y
_atom_site_fract_z
Ba1 Ba 0.0000 0.0000 0.0000
Ba2 Ba 0.3333 0.6667 0.6897
Np1 Np 0.0000 0.0000 0.5000
Si1 Si 0.3333 0.6667 0.2601
N1 N 0.1721 0.3441 0.3167

***

Record 3
# MgZnPt2 (PBE, relaxed)
# Total magnetization (μB per formula unit): 0.0
# E_form (kcal/mol of atoms): -10.9
# Electronic total energy (eV per atom): -4.212
data_MgZnPt2
_space_group_name_H-M_alt 'P 4 m m'
_space_group_IT_number 99
_cell_length_a 3.356
_cell_length_b 3.356
_cell_length_c 5.622
_cell_angle_alpha 90.00
_cell_angle_beta 90.00
_cell_angle_gamma 90.00
loop_
_space_group_symop_operation_xyz
'x,y,z'
'-y,x,z'
'-x,-y,z'
'y,-x,z'
'-x,y,z'
'y,x,z'
'x,-y,z'
'-y,-x,z'
loop_
_atom_site_label
_atom_site_type_symbol
_atom_site_fract_x
_atom_site_fract_y
_atom_site_fract_z
Mg1 Mg 0.000 0.000 0.000
Zn1 Zn 0.500 0.500 0.717
Pt1 Pt 0.000 0.000 0.519
Pt2 Pt 0.500 0.500 0.214

***

- What is the formula in the first record?
  PmEuZnCu

***

- Among the records above, which one has the highest electronic total energy?
  MgZnPt2